1.
PrYTh2 PBE-GGA relaxed; DFT total energy = -6.21 eV/atom; offset from the most stable computed form = 6.520 kcal/mol of atoms; energy relative to the elements = 0.31 eV/atom; calculated density = 8.13 g/cm³
1.0
8.983 0.000 0.000
0.000 18.196 0.000
-0.849 0.000 3.470
Pr Y Th
4 4 8
Cartesian
2.246 4.549 0.000 Pr
1.821 13.647 1.735 Pr
6.313 4.549 1.735 Pr
6.737 13.647 0.000 Pr
-0.212 1.666 0.867 Y
-0.636 16.530 2.602 Y
3.855 7.432 2.602 Y
4.279 10.765 0.867 Y
1.324 7.645 0.405 Th
0.900 10.551 2.140 Th
2.319 1.453 3.064 Th
2.743 16.743 1.329 Th
5.391 1.453 2.140 Th
5.815 16.743 0.405 Th
7.234 7.645 1.329 Th
6.810 10.551 3.064 Th

---

2.
Pr3SmY8 PBE-GGA relaxed; DFT total energy = -5.60 eV/atom; energy relative to the elements = 0.29 eV/atom; calculated density = 4.93 g/cm³
1.0
-3.267 5.704 5.809
3.267 -5.704 5.809
3.267 5.704 -5.809
Pr Sm Y
3 1 8
Cartesian
0.000 0.000 0.000 Pr
3.267 0.000 2.923 Pr
0.000 5.704 2.885 Pr
0.000 0.000 5.809 Sm
3.267 3.770 -2.902 Y
1.626 2.886 0.000 Y
1.641 -2.817 5.809 Y
0.000 1.934 2.907 Y
3.267 3.770 2.902 Y
1.626 8.521 0.000 Y
1.641 2.817 5.809 Y
0.000 1.934 8.711 Y

---

3.
KHgSe PBE-GGA relaxed; DFT total energy = -1.95 eV/atom; uncorrected formation energy = -31.19 kJ per mole of atoms; offset from the most stable computed form = 5.120 kcal/mol of atoms; calculated density = 6.07 g/cm³
1.0
3.504 0.000 0.000
0.000 3.504 0.000
0.000 0.000 14.192
K Hg Se
2 2 2
Cartesian
0.000 0.000 0.000 K
1.752 1.752 7.096 K
0.000 0.000 9.662 Hg
1.752 1.752 2.566 Hg
0.000 0.000 4.882 Se
1.752 1.752 11.978 Se

---

4.
BaSn2Pb3Se6 PBE-GGA relaxed; DFT total energy = -4.25 eV/atom; uncorrected formation energy = -72.47 kJ per mole of atoms; calculated density = 6.65 g/cm³
1.0
9.585 -2.207 0.000
9.585 2.207 0.000
-1.887 0.000 8.682
Ba Sn Pb Se
1 2 3 6
Cartesian
0.000 0.000 0.000 Ba
5.097 0.000 5.822 Sn
12.185 0.000 2.860 Sn
-0.944 0.000 4.341 Pb
6.051 0.000 1.554 Pb
11.232 0.000 7.128 Pb
2.129 0.000 5.091 Se
3.114 0.000 0.883 Se
8.088 0.000 6.393 Se
9.195 0.000 2.290 Se
14.168 0.000 7.799 Se
15.154 0.000 3.591 Se

---

5.
NaCuI2 PBE-GGA relaxed; DFT total energy = -2.35 eV/atom; uncorrected formation energy = -21.16 kJ per mole of atoms; offset from the most stable computed form = 10.107 kcal/mol of atoms; calculated density = 4.96 g/cm³
1.0
7.697 0.000 0.000
0.000 7.697 0.000
0.000 0.000 7.697
Na Cu I
4 4 8
Cartesian
0.000 0.000 0.000 Na
0.000 3.848 3.848 Na
3.848 0.000 3.848 Na
3.848 3.848 0.000 Na
0.000 0.000 3.848 Cu
0.000 3.848 0.000 Cu
3.848 0.000 0.000 Cu
3.848 3.848 3.848 Cu
1.924 1.924 1.924 I
1.924 1.924 5.773 I
1.924 5.773 1.924 I
1.924 5.773 5.773 I
5.773 1.924 1.924 I
5.773 1.924 5.773 I
5.773 5.773 1.924 I
5.773 5.773 5.773 I

---

6.
CrPd7Au12 PBE-GGA relaxed; DFT total energy = -4.25 eV/atom; energy relative to the elements = 0.01 eV/atom; calculated density = 14.98 g/cm³
1.0
6.019 3.475 2.792
-6.019 3.475 2.792
0.000 -6.950 2.792
Cr Pd Au
1 7 12
Cartesian
0.000 0.000 0.000 Cr
-1.827 -5.115 3.460 Pd
-5.344 -0.975 4.914 Pd
-3.516 4.140 3.460 Pd
0.000 0.000 4.187 Pd
3.516 -4.140 4.914 Pd
5.344 0.975 3.460 Pd
1.827 5.115 4.914 Pd
-2.158 -0.530 2.078 Au
-0.857 -2.570 3.520 Au
1.538 -1.604 2.078 Au
-2.654 -0.543 4.855 Au
-1.798 2.027 3.520 Au
0.620 2.134 2.078 Au
-0.620 -2.134 6.297 Au
1.798 -2.027 4.855 Au
2.654 0.543 3.520 Au
-1.538 1.604 6.297 Au
0.857 2.570 4.855 Au
2.158 0.530 6.297 Au

---

> Among the records above, which one has the highest calculated density?

CrPd7Au12

---

Copy entry 3 word for word.
KHgSe PBE-GGA relaxed; DFT total energy = -1.95 eV/atom; uncorrected formation energy = -31.19 kJ per mole of atoms; offset from the most stable computed form = 5.120 kcal/mol of atoms; calculated density = 6.07 g/cm³
1.0
3.504 0.000 0.000
0.000 3.504 0.000
0.000 0.000 14.192
K Hg Se
2 2 2
Cartesian
0.000 0.000 0.000 K
1.752 1.752 7.096 K
0.000 0.000 9.662 Hg
1.752 1.752 2.566 Hg
0.000 0.000 4.882 Se
1.752 1.752 11.978 Se

---

Please write out number 1 again, unchanged.
PrYTh2 PBE-GGA relaxed; DFT total energy = -6.21 eV/atom; offset from the most stable computed form = 6.520 kcal/mol of atoms; energy relative to the elements = 0.31 eV/atom; calculated density = 8.13 g/cm³
1.0
8.983 0.000 0.000
0.000 18.196 0.000
-0.849 0.000 3.470
Pr Y Th
4 4 8
Cartesian
2.246 4.549 0.000 Pr
1.821 13.647 1.735 Pr
6.313 4.549 1.735 Pr
6.737 13.647 0.000 Pr
-0.212 1.666 0.867 Y
-0.636 16.530 2.602 Y
3.855 7.432 2.602 Y
4.279 10.765 0.867 Y
1.324 7.645 0.405 Th
0.900 10.551 2.140 Th
2.319 1.453 3.064 Th
2.743 16.743 1.329 Th
5.391 1.453 2.140 Th
5.815 16.743 0.405 Th
7.234 7.645 1.329 Th
6.810 10.551 3.064 Th

---

> Among the records above, which one has the lowest DFT total energy?

PrYTh2